(1)
# KHgBi2Te4

A relaxed KHgBi2Te4 crystal (PBE, the Alexandria database).

```
data_KHgBi2Te4
_space_group_name_H-M_alt 'P 1'
_space_group_IT_number 1
_cell_length_a 4.630
_cell_length_b 7.770
_cell_length_c 16.994
_cell_angle_alpha 90.00
_cell_angle_beta 90.00
_cell_angle_gamma 107.33
loop_
_space_group_symop_operation_xyz
'x,y,z'
loop_
_atom_site_label
_atom_site_type_symbol
_atom_site_fract_x
_atom_site_fract_y
_atom_site_fract_z
Te1 Te 0.272 0.544 0.398
Te2 Te 0.728 0.456 0.602
Te3 Te 0.728 0.456 0.898
Te4 Te 0.272 0.544 0.102
Te5 Te 0.446 0.892 0.750
Te6 Te 0.000 0.000 0.500
Te7 Te 0.000 0.000 0.000
Te8 Te 0.554 0.108 0.250
Bi1 Bi 0.631 0.261 0.436
Bi2 Bi 0.631 0.261 0.064
Bi3 Bi 0.369 0.739 0.936
Bi4 Bi 0.369 0.739 0.564
Hg1 Hg 0.829 0.659 0.750
Hg2 Hg 0.171 0.341 0.250
K1 K 0.127 0.253 0.750
K2 K 0.873 0.747 0.250
```

Volume = 36.472 A^3/atom
Density = 6647 kg/m³
Total moment = 0.000 μB/cell
Raw formation energy = -316 meV per atom


(2)
# KHgBiTe3

A relaxed KHgBiTe3 crystal (PBE, the Alexandria database).

```
data_KHgBiTe3
_space_group_name_H-M_alt 'P 1'
_space_group_IT_number 1
_cell_length_a 4.590
_cell_length_b 9.557
_cell_length_c 10.728
_cell_angle_alpha 104.86
_cell_angle_beta 90.00
_cell_angle_gamma 90.00
loop_
_space_group_symop_operation_xyz
'x,y,z'
loop_
_atom_site_label
_atom_site_type_symbol
_atom_site_fract_x
_atom_site_fract_y
_atom_site_fract_z
Bi1 Bi 0.250 0.670 0.129
Bi2 Bi 0.750 0.330 0.871
Te1 Te 0.750 0.231 0.536
Te2 Te 0.750 0.896 0.116
Te3 Te 0.250 0.104 0.884
Te4 Te 0.250 0.552 0.843
Te5 Te 0.250 0.769 0.464
Te6 Te 0.750 0.448 0.157
Hg1 Hg 0.250 0.087 0.615
Hg2 Hg 0.750 0.913 0.385
K1 K 0.250 0.200 0.253
K2 K 0.750 0.800 0.747
```

Volume = 37.902 A^3/atom
Density = 6071 kg/m³
Total moment = 0.000 μB/cell
Raw formation energy = -450 meV per atom


(3)
# K2HgBiTe4

A relaxed K2HgBiTe4 crystal (PBE, the Alexandria database).

```
data_K2HgBiTe4
_space_group_name_H-M_alt 'P 1'
_space_group_IT_number 1
_cell_length_a 7.417
_cell_length_b 7.237
_cell_length_c 7.237
_cell_angle_alpha 74.77
_cell_angle_beta 59.17
_cell_angle_gamma 59.17
loop_
_space_group_symop_operation_xyz
'x,y,z'
loop_
_atom_site_label
_atom_site_type_symbol
_atom_site_fract_x
_atom_site_fract_y
_atom_site_fract_z
Te1 Te 0.441 0.628 0.000
Te2 Te 0.931 0.000 0.628
Te3 Te 0.559 0.000 0.372
Te4 Te 0.069 0.372 0.000
K1 K 0.500 0.500 0.500
K2 K 0.000 0.500 0.500
Bi1 Bi 0.000 0.000 0.000
Hg1 Hg 0.500 0.000 0.000
```

Volume = 35.801 A^3/atom
Density = 5787 kg/m³
Total moment = 0.000 μB/cell
Raw formation energy = -479 meV per atom


(4)
# KTiHg2Bi

A relaxed KTiHg2Bi crystal (PBE, the Alexandria database).

```
data_KTiHg2Bi
_space_group_name_H-M_alt 'P 1'
_space_group_IT_number 1
_cell_length_a 5.534
_cell_length_b 5.534
_cell_length_c 5.397
_cell_angle_alpha 90.00
_cell_angle_beta 90.00
_cell_angle_gamma 90.00
loop_
_space_group_symop_operation_xyz
'x,y,z'
loop_
_atom_site_label
_atom_site_type_symbol
_atom_site_fract_x
_atom_site_fract_y
_atom_site_fract_z
Ti1 Ti 0.000 0.000 0.000
Hg1 Hg 0.500 0.000 0.000
Hg2 Hg 0.000 0.500 0.000
K1 K 0.500 0.500 0.500
Bi1 Bi 0.000 0.000 0.500
```

Volume = 33.061 A^3/atom
Density = 7003 kg/m³
Total moment = 1.130 μB/cell
Formation energy = -0.066 eV/atom


(5)
# KTlHg2Bi

A relaxed KTlHg2Bi crystal (PBE, the Alexandria database).

```
data_KTlHg2Bi
_space_group_name_H-M_alt 'P 1'
_space_group_IT_number 1
_cell_length_a 6.097
_cell_length_b 6.625
_cell_length_c 6.097
_cell_angle_alpha 90.00
_cell_angle_beta 90.00
_cell_angle_gamma 90.00
loop_
_space_group_symop_operation_xyz
'x,y,z'
loop_
_atom_site_label
_atom_site_type_symbol
_atom_site_fract_x
_atom_site_fract_y
_atom_site_fract_z
Tl1 Tl 0.500 0.500 0.500
Hg1 Hg 0.000 0.000 0.500
Hg2 Hg 0.500 0.000 0.000
Bi1 Bi 0.000 0.500 0.000
K1 K 0.000 0.000 0.000
```

Volume = 49.252 A^3/atom
Density = 5756 kg/m³
Total moment = 1.043 μB/cell
Formation energy = 0.390 eV/atom


(6)
# KTl2Hg2Bi2

A relaxed KTl2Hg2Bi2 crystal (PBE, the Alexandria database).

```
data_KTl2Hg2Bi2
_space_group_name_H-M_alt 'P 1'
_space_group_IT_number 1
_cell_length_a 5.173
_cell_length_b 5.173
_cell_length_c 10.611
_cell_angle_alpha 75.89
_cell_angle_beta 75.89
_cell_angle_gamma 60.00
loop_
_space_group_symop_operation_xyz
'x,y,z'
loop_
_atom_site_label
_atom_site_type_symbol
_atom_site_fract_x
_atom_site_fract_y
_atom_site_fract_z
Bi1 Bi 0.578 0.578 0.267
Bi2 Bi 0.422 0.422 0.733
Hg1 Hg 0.734 0.734 0.797
Hg2 Hg 0.266 0.266 0.203
K1 K 0.000 0.000 0.000
Tl1 Tl 0.856 0.856 0.432
Tl2 Tl 0.144 0.144 0.568
```

Volume = 33.711 A^3/atom
Density = 8916 kg/m³
Total moment = 0.000 μB/cell
Formation energy = -0.090 eV/atom


(7)
# KTlHg2Bi

A relaxed KTlHg2Bi crystal (PBE, the Alexandria database).

```
data_KTlHg2Bi
_space_group_name_H-M_alt 'P 1'
_space_group_IT_number 1
_cell_length_a 4.952
_cell_length_b 5.295
_cell_length_c 7.475
_cell_angle_alpha 110.74
_cell_angle_beta 109.34
_cell_angle_gamma 90.00
loop_
_space_group_symop_operation_xyz
'x,y,z'
loop_
_atom_site_label
_atom_site_type_symbol
_atom_site_fract_x
_atom_site_fract_y
_atom_site_fract_z
Hg1 Hg 0.695 0.195 0.391
Hg2 Hg 0.060 0.060 0.120
K1 K 0.441 0.441 0.882
Tl1 Tl 0.182 0.682 0.364
Bi1 Bi 0.834 0.834 0.668
```

Volume = 34.286 A^3/atom
Density = 8269 kg/m³
Total moment = 0.000 μB/cell
Formation energy = -0.178 eV/atom


(8)
# KZrHg2Bi

A relaxed KZrHg2Bi crystal (PBE, the Alexandria database).

```
data_KZrHg2Bi
_space_group_name_H-M_alt 'P 1'
_space_group_IT_number 1
_cell_length_a 6.037
_cell_length_b 5.707
_cell_length_c 6.037
_cell_angle_alpha 90.00
_cell_angle_beta 90.00
_cell_angle_gamma 90.00
loop_
_space_group_symop_operation_xyz
'x,y,z'
loop_
_atom_site_label
_atom_site_type_symbol
_atom_site_fract_x
_atom_site_fract_y
_atom_site_fract_z
Bi1 Bi 0.000 0.000 0.000
Hg1 Hg 0.000 0.000 0.500
Hg2 Hg 0.500 0.000 0.000
Zr1 Zr 0.000 0.500 0.000
K1 K 0.500 0.500 0.500
```

Volume = 41.595 A^3/atom
Density = 5912 kg/m³
Total moment = 2.306 μB/cell
Formation energy = 0.504 eV/atom


(9)
# LaHg3Bi

A relaxed LaHg3Bi crystal (PBE, the Alexandria database).

```
data_LaHg3Bi
_space_group_name_H-M_alt 'P 1'
_space_group_IT_number 1
_cell_length_a 5.916
_cell_length_b 5.916
_cell_length_c 5.916
_cell_angle_alpha 90.00
_cell_angle_beta 90.00
_cell_angle_gamma 90.00
loop_
_space_group_symop_operation_xyz
'x,y,z'
loop_
_atom_site_label
_atom_site_type_symbol
_atom_site_fract_x
_atom_site_fract_y
_atom_site_fract_z
Hg1 Hg 0.000 0.000 0.500
Hg2 Hg 0.500 0.000 0.000
Hg3 Hg 0.000 0.500 0.000
Bi1 Bi 0.500 0.500 0.500
La1 La 0.000 0.000 0.000
```

Volume = 41.421 A^3/atom
Density = 7614 kg/m³
Total moment = 0.000 μB/cell
Formation energy = 0.487 eV/atom


(10)
# LaHg2Bi2

A relaxed LaHg2Bi2 crystal (PBE, the Alexandria database).

```
data_LaHg2Bi2
_space_group_name_H-M_alt 'P 1'
_space_group_IT_number 1
_cell_length_a 8.346
_cell_length_b 8.346
_cell_length_c 4.212
_cell_angle_alpha 90.00
_cell_angle_beta 90.00
_cell_angle_gamma 90.00
loop_
_space_group_symop_operation_xyz
'x,y,z'
loop_
_atom_site_label
_atom_site_type_symbol
_atom_site_fract_x
_atom_site_fract_y
_atom_site_fract_z
Hg1 Hg 0.378 0.878 0.000
Hg2 Hg 0.878 0.622 0.000
Hg3 Hg 0.122 0.378 0.000
Hg4 Hg 0.622 0.122 0.000
Bi1 Bi 0.320 0.180 0.500
Bi2 Bi 0.820 0.320 0.500
Bi3 Bi 0.180 0.680 0.500
Bi4 Bi 0.680 0.820 0.500
La1 La 0.000 0.000 0.000
La2 La 0.500 0.500 0.000
```

Volume = 29.339 A^3/atom
Density = 10845 kg/m³
Total moment = 0.000 μB/cell
Formation energy = -0.308 eV/atom


(11)
# LaHg3Bi

A relaxed LaHg3Bi crystal (PBE, the Alexandria database).

```
data_LaHg3Bi
_space_group_name_H-M_alt 'P 1'
_space_group_IT_number 1
_cell_length_a 5.653
_cell_length_b 5.653
_cell_length_c 5.653
_cell_angle_alpha 90.00
_cell_angle_beta 90.00
_cell_angle_gamma 90.00
loop_
_space_group_symop_operation_xyz
'x,y,z'
loop_
_atom_site_label
_atom_site_type_symbol
_atom_site_fract_x
_atom_site_fract_y
_atom_site_fract_z
Hg1 Hg 0.000 0.500 0.000
Hg2 Hg 0.000 0.000 0.500
Hg3 Hg 0.500 0.000 0.000
Bi1 Bi 0.000 0.000 0.000
La1 La 0.500 0.500 0.500
```

Volume = 36.128 A^3/atom
Density = 8730 kg/m³
Total moment = 0.000 μB/cell
Formation energy = 0.260 eV/atom


(12)
# LaHg2Bi2

A relaxed LaHg2Bi2 crystal (PBE, the Alexandria database).

```
data_LaHg2Bi2
_space_group_name_H-M_alt 'P 1'
_space_group_IT_number 1
_cell_length_a 5.427
_cell_length_b 5.427
_cell_length_c 13.213
_cell_angle_alpha 90.00
_cell_angle_beta 90.00
_cell_angle_gamma 120.00
loop_
_space_group_symop_operation_xyz
'x,y,z'
loop_
_atom_site_label
_atom_site_type_symbol
_atom_site_fract_x
_atom_site_fract_y
_atom_site_fract_z
Hg1 Hg 0.000 0.000 0.000
Hg2 Hg 0.667 0.333 0.750
Hg3 Hg 0.333 0.667 0.250
Hg4 Hg 0.000 0.000 0.500
La1 La 0.000 0.000 0.750
La2 La 0.000 0.000 0.250
Bi1 Bi 0.667 0.333 0.371
Bi2 Bi 0.333 0.667 0.629
Bi3 Bi 0.333 0.667 0.871
Bi4 Bi 0.667 0.333 0.129
```

Volume = 33.702 A^3/atom
Density = 9441 kg/m³
Total moment = 0.000 μB/cell
Formation energy = -0.276 eV/atom


Number 1: uncorrected energy -48.52 eV/cell. Number 2: uncorrected energy -34.81 eV/cell. Number 3: uncorrected energy -22.77 eV/cell. Number 4: uncorrected energy -13.81 eV/cell. Number 5: uncorrected energy -6.00 eV/cell. Number 6: uncorrected energy -14.82 eV/cell. Number 7: uncorrected energy -8.84 eV/cell. Number 8: uncorrected energy -11.61 eV/cell. Number 9: uncorrected energy -7.28 eV/cell. Number 10: uncorrected energy -29.66 eV/cell. Number 11: uncorrected energy -8.42 eV/cell. Number 12: uncorrected energy -29.34 eV/cell.